*P*
Here is crystalline BaCa2Pb2 at its relaxed geometry from Alexandria. Energies are from GGA-PBEsol.

Summary:
Fermi-level density of states in states/eV per atom: 0.869

Cell lengths 5.142, 5.142, 7.774 Å; angles 109.31, 109.31, 90.00 degrees
Fractional coordinates of all 5 atoms:
Pb 0.391 0.391 0.782
Pb 0.609 0.609 0.218
Ba 0.000 0.000 0.000
Ca 0.250 0.750 0.500
Ca 0.750 0.250 0.500



*Q*
Here is crystalline BaCa2Pb2 at its relaxed geometry from Alexandria. Energies are from GGA-PBEsol.

Summary:
Fermi-level density of states in states/eV per atom: 0.494

Cell lengths 3.544, 9.495, 9.495 Å; angles 90.00, 90.00, 90.00 degrees
Fractional coordinates of all 10 atoms:
Ca 0.000 0.624 0.124
Ca 0.000 0.876 0.624
Ca 0.000 0.376 0.876
Ca 0.000 0.124 0.376
Pb 0.500 0.174 0.674
Pb 0.500 0.674 0.826
Pb 0.500 0.826 0.326
Pb 0.500 0.326 0.174
Ba 0.000 0.500 0.500
Ba 0.000 0.000 0.000



*Q* has the most favorable energy; the next structure is 61 meV/atom above.